SrPaPt4 after structural relaxation, computed with PBE.

E_tot	-6.68	eV/atom
DOS(E_F)	0.97	states/eV/atom
ρ	15.60	g/cm3
SG	F-43m, No. 216
formation energy from the elements	-0.794	eV/atom

Cell lengths 5.4898, 5.4898, 5.4898 Å; angles 60.00, 60.00, 60.00 degrees
Fractional positions:
Sr: 0.2500 0.2500 0.2500
Pa: 0.0000 0.0000 0.0000
Pt: 0.6251 0.6251 0.1248
Pt: 0.6251 0.1248 0.6251
Pt: 0.6251 0.6251 0.6251
Pt: 0.1248 0.6251 0.6251